Entry from Alexandria: a relaxed structure of BaMgV2Tc (PBE).

CIF file:
```
data_BaMgV2Tc
_symmetry_space_group_name_H-M 'P 4/m m m'
_symmetry_Int_Tables_number 123
_symmetry_space_group_name_Hall '-P 4 2'
_cell_length_a 4.7759
_cell_length_b 4.7759
_cell_length_c 5.3358
_cell_angle_alpha 90.00
_cell_angle_beta 90.00
_cell_angle_gamma 90.00
loop_
_atom_site_label
_atom_site_type_symbol
_atom_site_fract_x
_atom_site_fract_y
_atom_site_fract_z
_atom_site_occupancy
Ba1 Ba 0.0000 0.0000 0.0000 1
Mg1 Mg 0.5000 0.5000 0.0000 1
V1 V 0.0000 0.5000 0.5000 1
Tc1 Tc 0.5000 0.5000 0.5000 1
```

## Properties
As for the calculated density: 4.93 Mg/m³. The formation energy is 0.60 eV per atom. For the calculated volume, the calculation gives 121.7 Å³/f.u. The calculation puts the electronic total energy at -5.82 eV per atom.